Entry 1:
Crystalline ZnPb2O2F2 at its relaxed geometry, computed with PBE.

Crystal system: tetragonal
Space group: I4/mmm (139)

abc: 4.050 4.050 7.266
angles: 106.18 106.18 90.00
Sites, in units of the cell vectors:
Zn1 0.000 0.000 0.000
Pb1 0.376 0.376 0.751
Pb2 0.624 0.624 0.249
O1 0.000 0.500 0.000
O2 0.500 0.000 0.000
F1 0.173 0.173 0.345
F2 0.827 0.827 0.655

Entry 2:
Crystalline ZnPbO2F at its relaxed geometry, computed with PBE.

Crystal system: tetragonal
Space group: P4/mmm (123)

abc: 4.295 4.295 4.418
angles: 90.00 90.00 90.00
Sites, in units of the cell vectors:
Pb1 0.000 0.000 0.000
Zn1 0.500 0.500 0.500
O1 0.000 0.500 0.000
O2 0.500 0.000 0.000
F1 0.000 0.000 0.500

Quick rundown of E_form (uncorrected), same order as above: -1637; -635 meV/atom